The following is a PBE calculation of a relaxed structure of TmPd5Au6, from Alexandria via LeMat-Bulk.

Output
- size of the total moment (μB per formula unit) = 0.00
- DFT formation energy (eV/atom) = -0.34
- volume (Å³ per cell) = 207.74
- offset from the most stable computed form (eV per formula unit) = 0.08

The structure in POSCAR format:
```
TmPd5Au6
1.0
-2.8029 -2.8965 0.9665
1.7136 -3.9570 -6.8889
4.8977 0.1951 5.9003
Au Pd Tm
6 5 1
direct
0.8311 0.5747 0.6622
0.1689 0.9125 0.3378
0.5000 0.2624 0.0000
0.5000 0.7376 0.0000
0.1689 0.4253 0.3378
0.8311 0.0875 0.6622
0.6602 0.1602 0.3205
0.0000 0.5000 0.0000
0.3302 0.3302 0.6605
0.3398 0.8398 0.6795
0.6698 0.6698 0.3395
0.0000 0.0000 0.0000
```


The following is a PBE calculation of a relaxed structure of Er2In3Pd7, from Alexandria via LeMat-Bulk.

Output
- size of the total moment (μB per formula unit) = 0.00
- DFT formation energy (eV/atom) = -0.55
- volume (Å³ per cell) = 242.12
- offset from the most stable computed form (eV per formula unit) = 0.05

The structure in POSCAR format:
```
Er2In3Pd7
1.0
-0.6675 3.9295 2.6174
-3.8242 -2.0712 2.1342
8.1768 -2.8594 6.3783
In Pd Er
3 7 2
direct
0.5000 0.5000 0.0000
0.5000 0.3459 0.6918
0.5000 0.6541 0.3082
0.5000 0.0718 0.1436
0.0000 0.4294 0.8588
0.0000 0.5706 0.1412
0.0000 0.7155 0.4310
0.0000 0.2845 0.5690
0.0000 0.0000 0.0000
0.5000 0.9282 0.8564
0.0000 0.1448 0.2897
0.0000 0.8552 0.7103
```


The following is a PBE calculation of a relaxed structure of Y3HoAg4, from Alexandria via LeMat-Bulk.

Output
- size of the total moment (μB per formula unit) = 0.00
- DFT formation energy (eV/atom) = -0.33
- volume (Å³ per cell) = 192.81

The structure in POSCAR format:
```
Y3HoAg4
1.0
-1.7549 -0.4893 3.1495
3.0751 -1.2053 1.5262
3.3547 13.6019 3.9822
Y Ag Ho
3 4 1
direct
0.5000 0.5000 0.5000
0.5000 0.5000 0.2489
0.5000 0.5000 0.7511
0.0000 0.0000 0.6249
0.0000 0.0000 0.1220
0.0000 0.0000 0.3751
0.0000 0.0000 0.8780
0.5000 0.5000 0.0000
```


The following is a PBE calculation of a relaxed structure of CdPBr2, from Alexandria via LeMat-Bulk.

Output
- size of the total moment (μB per formula unit) = 0.00
- energy relative to the elements, uncorrected (eV/f.u.) = 0.16
- volume (Å³ per cell) = 114.09
- offset from the most stable computed form (eV per formula unit) = 1.04

The structure in POSCAR format:
```
CdPBr2
1.0
8.3193 0.0704 -0.0005
6.5029 5.1892 0.0005
-7.2469 -3.0924 2.6710
Cd Br P
1 2 1
direct
0.4323 0.4323 0.0000
0.0133 0.0133 0.0000
0.7601 0.2601 0.5000
0.2943 0.7943 0.5000
```


The following is a PBE calculation of a relaxed structure of Mg3Cd, from Alexandria via LeMat-Bulk.

Output
- size of the total moment (μB per formula unit) = 0.00
- DFT formation energy (eV/atom) = -0.08
- volume (Å³ per cell) = 175.30

The structure in POSCAR format:
```
Mg3Cd
1.0
-0.3442 -3.9538 4.8008
-3.7164 -0.7663 -4.9397
3.6045 -3.0350 -2.2411
Mg Cd
6 2
direct
0.1675 0.8325 0.2500
0.8325 0.6651 0.7500
0.3349 0.1674 0.7500
0.8325 0.1675 0.7500
0.6651 0.8326 0.2500
0.1675 0.3349 0.2500
0.3333 0.6667 0.7500
0.6667 0.3333 0.2500
```


The following is a PBE calculation of a relaxed structure of ZrTcCl2, from Alexandria via LeMat-Bulk.

Output
- size of the total moment (μB per formula unit) = 1.32
- energy relative to the elements, uncorrected (eV/f.u.) = -1.09
- volume (Å³ per cell) = 72.27
- offset from the most stable computed form (eV per formula unit) = 1.13

The structure in POSCAR format:
```
ZrTcCl2
1.0
1.8012 0.0000 8.5734
-0.9006 1.5599 8.5734
-0.9006 -1.5599 8.5734
Tc Cl Zr
1 2 1
direct
0.0000 0.0000 0.0000
0.0924 0.0924 0.0924
0.9076 0.9076 0.9076
0.5000 0.5000 0.5000
```


The following is a PBE calculation of a relaxed structure of Ce2InAg2, from Alexandria via LeMat-Bulk.

Output
- size of the total moment (μB per formula unit) = 2.41
- DFT formation energy (eV/atom) = -0.26
- volume (Å³ per cell) = 122.14

The structure in POSCAR format:
```
Ce2InAg2
1.0
-1.8440 1.7529 -2.0708
-4.0291 -1.6666 2.1771
2.1876 6.7383 3.7556
Ag Ce In
2 2 1
direct
0.0000 0.7999 0.5998
0.0000 0.2001 0.4002
0.5000 0.6159 0.2318
0.5000 0.3841 0.7682
0.0000 0.0000 0.0000
```


The following is a PBE calculation of a relaxed structure of VReSN2, from Alexandria via LeMat-Bulk.

Output
- size of the total moment (μB per formula unit) = 0.54
- energy relative to the elements, uncorrected (eV/f.u.) = 3.25
- volume (Å³ per cell) = 72.93
- offset from the most stable computed form (eV per formula unit) = 0.00

The structure in POSCAR format:
```
VReSN2
1.0
-2.9546 -1.6218 -1.7635
2.3958 -2.0241 -2.1525
-0.0274 -3.6870 3.4366
N Re S V
2 1 1 1
direct
0.5000 0.0000 0.0000
0.0000 0.5000 0.0000
0.0000 0.0000 0.0000
0.0000 0.0000 0.5000
0.5000 0.5000 0.5000
```


The following is a PBE calculation of a relaxed structure of YZn2Cu2, from Alexandria via LeMat-Bulk.

Output
- size of the total moment (μB per formula unit) = 0.00
- DFT formation energy (eV/atom) = -0.07
- volume (Å³ per cell) = 162.19
- offset from the most stable computed form (eV per formula unit) = 0.95

The structure in POSCAR format:
```
YZn2Cu2
1.0
-6.0646 2.2700 -3.9342
-0.7478 -6.9722 -2.8702
-1.6705 -0.7118 2.1643
Zn Cu Y
4 4 2
direct
0.8794 0.6206 0.0000
0.1206 0.3794 0.0000
0.6206 0.1206 0.0000
0.3794 0.8794 0.0000
0.1745 0.6745 0.5000
0.3255 0.1745 0.5000
0.6745 0.8255 0.5000
0.8255 0.3255 0.5000
0.0000 0.0000 0.0000
0.5000 0.5000 0.0000
```


The following is a PBE calculation of a relaxed structure of CaTiO2, from Alexandria via LeMat-Bulk.

Output
- size of the total moment (μB per formula unit) = 0.00
- energy relative to the elements, uncorrected (eV/f.u.) = -9.81
- volume (Å³ per cell) = 61.23
- offset from the most stable computed form (eV per formula unit) = 0.60

The structure in POSCAR format:
```
CaTiO2
1.0
1.9593 0.0000 6.1392
-0.9796 1.6968 6.1392
-0.9796 -1.6968 6.1392
O Ca Ti
2 1 1
direct
0.0995 0.0995 0.0995
0.9005 0.9005 0.9005
0.5000 0.5000 0.5000
0.0000 0.0000 0.0000
```


The following is a PBE calculation of a relaxed structure of BaPmP, from Alexandria via LeMat-Bulk.

Output
- size of the total moment (μB per formula unit) = 0.45
- DFT formation energy (eV/atom) = -0.80
- volume (Å³ per cell) = 116.02
- offset from the most stable computed form (eV per formula unit) = 0.00

The structure in POSCAR format:
```
BaPmP
1.0
7.3490 0.0000 0.0000
0.0000 4.2696 0.0000
0.0000 -2.1348 3.6975
Ba P Pm
1 1 1
direct
0.7503 0.6667 0.3333
0.0325 0.0000 0.0000
0.2172 0.3333 0.6667
```


The following is a PBE calculation of a relaxed structure of BeAuSeN2, from Alexandria via LeMat-Bulk.

Output
- size of the total moment (μB per formula unit) = 0.85
- energy relative to the elements, uncorrected (eV/f.u.) = 9.06
- volume (Å³ per cell) = 114.46
- offset from the most stable computed form (eV per formula unit) = 3.02

The structure in POSCAR format:
```
BeAuSeN2
1.0
3.7498 0.0000 0.0000
0.0000 3.7498 0.0000
0.0000 0.0000 8.1405
Be N Au Se
1 2 1 1
direct
0.5000 0.5000 0.5000
0.5000 0.0000 0.0000
0.0000 0.5000 0.0000
0.0000 0.0000 0.0000
0.0000 0.0000 0.5000
```